Record 1
Computed, not measured: a relaxed structure of MnZnHAu2 at the PBE-GGA level of DFT.

Calculated values
**Calculated volume**: 68 Å³ per cell
**Total moment**: 3.43 μB per cell
**VASP energy**: -4.00 eV per atom

Unit cell a=4.527 b=4.527 c=3.336 alpha=90.00 beta=90.00 gamma=90.00
Each line ends with the local moment (μB).
Atoms (fractional coordinates):
Au 0.500 0.000 0.000  -0.01
Au 0.000 0.500 0.000  -0.01
H 0.000 0.000 0.000  -0.04
Zn 0.500 0.500 0.500  -0.01
Mn 0.000 0.000 0.500  3.39


Record 2
Computed, not measured: a relaxed structure of MnZn2HAu at the PBE-GGA level of DFT.

Calculated values
**Calculated volume**: 63 Å³ per cell
**Total moment**: 3.39 μB per cell
**VASP energy**: -3.66 eV per atom

Unit cell a=4.191 b=4.191 c=3.588 alpha=90.00 beta=90.00 gamma=90.00
Each line ends with the local moment (μB).
Atoms (fractional coordinates):
Au 0.500 0.500 0.500  0.01
Zn 0.500 0.000 0.000  -0.03
Zn 0.000 0.500 0.000  -0.03
Mn 0.000 0.000 0.500  3.33
H 0.000 0.000 0.000  -0.02


Record 3
Computed, not measured: a relaxed structure of ZrMn2HAu at the PBE-GGA level of DFT.

Calculated values
**Calculated volume**: 67 Å³ per cell
**Total moment**: 4.75 μB per cell
**VASP energy**: -6.81 eV per atom

Unit cell a=4.023 b=4.023 c=4.137 alpha=90.00 beta=90.00 gamma=90.00
Each line ends with the local moment (μB).
Atoms (fractional coordinates):
Au 0.500 0.500 0.500  -0.07
Mn 0.000 0.500 0.000  2.70
Mn 0.500 0.000 0.000  2.70
Zr 0.000 0.000 0.500  -0.51
H 0.000 0.000 0.000  -0.01


Record 4
Computed, not measured: a relaxed structure of MoHAu3 at the PBE-GGA level of DFT.

Calculated values
**ΔE to the lowest computed polymorph**: 0.000 eV per atom
**Calculated volume**: 76 Å³ per cell
**Total moment**: 3.10 μB per cell

Unit cell a=4.239 b=4.239 c=4.239 alpha=90.00 beta=90.00 gamma=90.00
Each line ends with the local moment (μB).
Atoms (fractional coordinates):
Au 0.000 0.000 0.500  0.06
Au 0.500 0.000 0.000  0.09
Au 0.000 0.500 0.000  0.03
H 0.000 0.000 0.000  0.01
Mo 0.500 0.500 0.500  2.55


Record 5
Computed, not measured: a relaxed structure of MoHAu at the PBE-GGA level of DFT.

Calculated values
**ΔE to the lowest computed polymorph**: 0.048 eV per atom
**Calculated volume**: 171 Å³ per cell
**Total moment**: 0.00 μB per cell

Unit cell a=5.609 b=3.477 c=8.756 alpha=90.00 beta=90.00 gamma=90.00
Atoms (fractional coordinates):
Mo 0.623 0.750 0.564
Mo 0.377 0.250 0.436
Mo 0.877 0.250 0.064
Mo 0.123 0.750 0.936
H 0.508 0.250 0.634
H 0.492 0.750 0.366
H 0.992 0.750 0.134
H 0.008 0.250 0.866
Au 0.098 0.750 0.628
Au 0.402 0.250 0.128
Au 0.598 0.750 0.872
Au 0.902 0.250 0.372


Record 6
Computed, not measured: a relaxed structure of Mo4H2Au at the PBE-GGA level of DFT.

Calculated values
**Calculated volume**: 109 Å³ per cell
**Total moment**: 0.00 μB per cell
**VASP energy**: -5.96 eV per atom

Unit cell a=4.778 b=4.778 c=5.831 alpha=65.81 beta=65.81 gamma=90.00
Atoms (fractional coordinates):
Mo 0.272 0.272 0.455
Mo 0.000 0.500 0.000
Mo 0.728 0.728 0.545
Mo 0.500 0.000 0.000
H 0.447 0.447 0.106
H 0.553 0.553 0.894
Au 0.000 0.000 0.000


Which of these has the highest calculated volume?
MoHAu


Copy entry 4 word for word.
Computed, not measured: a relaxed structure of MoHAu3 at the PBE-GGA level of DFT.

Calculated values
**ΔE to the lowest computed polymorph**: 0.000 eV per atom
**Calculated volume**: 76 Å³ per cell
**Total moment**: 3.10 μB per cell

Unit cell a=4.239 b=4.239 c=4.239 alpha=90.00 beta=90.00 gamma=90.00
Each line ends with the local moment (μB).
Atoms (fractional coordinates):
Au 0.000 0.000 0.500  0.06
Au 0.500 0.000 0.000  0.09
Au 0.000 0.500 0.000  0.03
H 0.000 0.000 0.000  0.01
Mo 0.500 0.500 0.500  2.55


The lowest calculated volume belongs to which entry?
MnZn2HAu


Please write out number 6 again, unchanged.
Computed, not measured: a relaxed structure of Mo4H2Au at the PBE-GGA level of DFT.

Calculated values
**Calculated volume**: 109 Å³ per cell
**Total moment**: 0.00 μB per cell
**VASP energy**: -5.96 eV per atom

Unit cell a=4.778 b=4.778 c=5.831 alpha=65.81 beta=65.81 gamma=90.00
Atoms (fractional coordinates):
Mo 0.272 0.272 0.455
Mo 0.000 0.500 0.000
Mo 0.728 0.728 0.545
Mo 0.500 0.000 0.000
H 0.447 0.447 0.106
H 0.553 0.553 0.894
Au 0.000 0.000 0.000